(1)
Material: RbBeCoAs2
Method: DFT, PBEsol
State: optimized geometry

- space group = P4/mmm, No. 123
- size of the total moment (μB per formula unit) = 2.4
- VASP energy (eV/cell) = -10.266
- E_form (eV/atom) = 2.54
- crystal system = tetragonal

```
RbBeCoAs2
1.0
5.353 0.000 0.000
0.000 5.353 0.000
0.000 0.000 4.797
Rb Be Co As
1 1 1 2
direct
0.000 0.000 0.000
0.000 0.000 0.500
0.500 0.500 0.500
0.000 0.500 0.000
0.500 0.000 0.000
```

(2)
Material: SrZnMo2
Method: DFT, PBEsol
State: optimized geometry

- space group = P2/m, No. 10
- size of the total moment (μB per formula unit) = 0.0
- VASP energy (eV/cell) = -23.564
- E_form (eV/atom) = 0.85
- crystal system = monoclinic

```
SrZnMo2
1.0
2.848 0.000 0.000
0.000 5.163 0.000
-0.384 0.000 5.081
Sr Zn Mo
1 1 2
direct
0.000 0.000 0.000
0.500 0.000 0.500
0.375 0.500 0.750
0.625 0.500 0.250
```

(3)
Material: Mn2CuOs
Method: DFT, PBEsol
State: optimized geometry

- space group = Cm, No. 8
- size of the total moment (μB per formula unit) = 2.7
- VASP energy (eV/cell) = -70.196
- E_form (eV/atom) = 0.24
- crystal system = monoclinic

```
Mn2CuOs
1.0
8.476 0.000 0.000
0.000 2.617 0.000
-0.944 0.000 4.280
Mn Cu Os
4 2 2
direct
0.000 0.000 0.000
0.236 0.500 0.264
0.500 0.500 0.000
0.736 0.000 0.264
0.245 0.000 0.772
0.745 0.500 0.772
0.485 0.000 0.492
0.985 0.500 0.492
```

(4)
Material: BaNb2AlAg
Method: DFT, PBEsol
State: optimized geometry

- space group = P4/mmm, No. 123
- size of the total moment (μB per formula unit) = 0.0
- VASP energy (eV/cell) = -18.904
- E_form (eV/atom) = 2.46
- crystal system = tetragonal

```
BaNb2AlAg
1.0
5.045 0.000 0.000
0.000 5.045 0.000
0.000 0.000 5.342
Ba Nb Al Ag
1 2 1 1
direct
0.000 0.000 0.000
0.000 0.500 0.000
0.500 0.000 0.000
0.000 0.000 0.500
0.500 0.500 0.500
```

(5)
Material: FeCu2Pt
Method: DFT, PBEsol
State: optimized geometry

- space group = I4/mmm, No. 139
- size of the total moment (μB per formula unit) = 3.4
- VASP energy (eV/cell) = -49.455
- E_form (eV/atom) = -0.03
- crystal system = tetragonal

```
FeCu2Pt
1.0
3.659 0.000 0.000
0.000 3.659 0.000
0.000 0.000 7.435
Fe Cu Pt
2 4 2
direct
0.000 0.000 0.000
0.500 0.500 0.500
0.000 0.500 0.250
0.000 0.500 0.750
0.500 0.000 0.250
0.500 0.000 0.750
0.000 0.000 0.500
0.500 0.500 0.000
```

(6)
Material: Sr2YGeP
Method: DFT, PBEsol
State: optimized geometry

- space group = P4/mmm, No. 123
- size of the total moment (μB per formula unit) = 0.8
- VASP energy (eV/cell) = -16.870
- E_form (eV/atom) = 0.87
- crystal system = tetragonal

```
Sr2YGeP
1.0
6.162 0.000 0.000
0.000 6.162 0.000
0.000 0.000 5.043
Sr Y Ge P
2 1 1 1
direct
0.000 0.500 0.000
0.500 0.000 0.000
0.000 0.000 0.000
0.000 0.000 0.500
0.500 0.500 0.500
```

(7)
Material: Sc2PtAu
Method: DFT, PBEsol
State: optimized geometry

- space group = Pmm2, No. 25
- size of the total moment (μB per formula unit) = 0.0
- VASP energy (eV/cell) = -28.102
- E_form (eV/atom) = -1.00
- crystal system = orthorhombic

```
Sc2PtAu
1.0
3.256 0.000 0.000
0.000 4.686 0.000
0.000 0.000 4.727
Sc Pt Au
2 1 1
direct
0.000 0.000 0.000
0.000 0.500 0.478
0.500 0.000 0.511
0.500 0.500 0.968
```

(8)
Material: OsSe2NO
Method: DFT, PBEsol
State: optimized geometry

- space group = P4/mmm, No. 123
- size of the total moment (μB per formula unit) = 0.1
- VASP energy (eV/cell) = -25.949
- crystal system = tetragonal
- formation energy from raw total energies (eV/atom) = 1.549

```
OsSe2NO
1.0
4.199 0.000 0.000
0.000 4.199 0.000
0.000 0.000 3.662
Os Se N O
1 2 1 1
direct
0.000 0.000 0.000
0.000 0.500 0.500
0.500 0.000 0.500
0.500 0.500 0.000
0.500 0.500 0.500
```